CrW after structural relaxation, computed with GGA-PBE.

magnetic moment	0.00	μB per formula unit
N(E_F)	1.2	states/eV/f.u.
ΔH_f (0 K)	0.098	eV/atom
calculated density	13907	kg/m3

a b c (Å): 4.302 4.302 4.302
angles (deg): 90.00 120.00 60.00
Atoms (fractional coordinates):
Cr  0.000  0.000  0.000
Cr  0.500  0.250  0.250
W  0.500  0.750  0.750
W  0.000  0.500  0.500

=====

AcTeS after structural relaxation, computed with GGA-PBE.

offset from the most stable computed form	0.000	eV per formula unit
magnetic moment	0.00	μB per formula unit
N(E_F)	0.8	states/eV/f.u.
raw formation energy	-1.66	eV per atom
calculated density	7269	kg/m3

a b c (Å): 4.427 4.426 18.030
angles (deg): 90.00 90.00 90.00
Atoms (fractional coordinates):
Ac  0.250  0.750  0.849
Ac  0.250  0.750  0.349
Ac  0.750  0.250  0.151
Ac  0.750  0.250  0.651
Te  0.250  0.250  0.500
Te  0.250  0.250  0.000
Te  0.750  0.750  0.500
Te  0.750  0.750  0.000
S  0.250  0.750  0.683
S  0.250  0.750  0.183
S  0.750  0.250  0.317
S  0.750  0.250  0.817